{
  "formula": "SrPd2F",
  "functional": "PBE",
  "state": "relaxed",
  "space_group": "No. 122",
  "e_form_raw_ev_per_atom": -1.297,
  "crystal_system": "tetragonal",
  "lattice": [[-3.337, 1.477, -0.201], [-0.281, -1.108, -3.472], [-6.582, -10.102, 1.833]],
  "species": ["Sr", "Sr", "Pd", "Pd", "Pd", "Pd", "F", "F"],
  "frac_coords": [[0.000, 0.000, 0.000], [0.750, 0.250, 0.500], [0.624, 0.125, 0.250], [0.126, 0.625, 0.250], [0.375, 0.376, 0.750], [0.875, 0.874, 0.750], [0.500, 0.500, 0.000], [0.250, 0.750, 0.500]]
}

{
  "formula": "Pm2PrTh2",
  "functional": "PBE",
  "state": "relaxed",
  "space_group": "No. 139",
  "crystal_system": "tetragonal",
  "formation_enthalpy_0k_ev_per_fu": 1.8,
  "lattice": [[4.770, 0.000, 0.000], [0.000, 4.770, 0.000], [-2.385, -2.385, 7.946]],
  "species": ["Pm", "Pm", "Pr", "Th", "Th"],
  "frac_coords": [[0.402, 0.402, 0.804], [0.598, 0.598, 0.196], [0.000, 0.000, 0.000], [0.750, 0.250, 0.500], [0.250, 0.750, 0.500]]
}

{
  "formula": "Cu2MoW",
  "functional": "PBE",
  "state": "relaxed",
  "space_group": "No. 225",
  "crystal_system": "cubic",
  "formation_enthalpy_0k_ev_per_fu": 2.2,
  "lattice": [[0.000, 3.037, 3.037], [3.037, 0.000, 3.037], [3.037, 3.037, 0.000]],
  "species": ["Mo", "Cu", "Cu", "W"],
  "frac_coords": [[0.000, 0.000, 0.000], [0.250, 0.250, 0.250], [0.750, 0.750, 0.750], [0.500, 0.500, 0.500]]
}

{
  "formula": "CdMoSe2",
  "functional": "PBE",
  "state": "relaxed",
  "space_group": "No. 166",
  "e_form_raw_ev_per_atom": 0.499,
  "crystal_system": "trigonal",
  "lattice": [[2.177, 0.000, 8.274], [-1.089, 1.886, 8.274], [-1.089, -1.886, 8.274]],
  "species": ["Mo", "Se", "Se", "Cd"],
  "frac_coords": [[0.000, 0.000, 0.000], [0.903, 0.903, 0.903], [0.097, 0.097, 0.097], [0.500, 0.500, 0.500]]
}

| no. | energy relative to the lowest polymorph listed for this composition (meV per atom) | VASP energy (eV per formula unit) | volume (Å³ per cell) |
| --- | --- | --- | --- |
| 1 | 0 | -19.13 | 159 |
| 2 | 338 | -27.29 | 181 |
| 3 | 368 | -29.76 | 56 |
| 4 | 799 | -16.72 | 102 |